A plane-wave DFT calculation with SCAN was carried out for a crystal of CsBr2F relaxed with PBEsol.

a b c (Å): 4.241 4.241 7.211
angles (deg): 90.00 90.00 90.00
Element x y z (fractional)
Cs 0.000 0.000 0.000
Br 0.500 0.500 0.335
Br 0.500 0.500 0.665
F 0.500 0.500 0.000

Calculated values
Space group: No. 123
E_form (uncorrected): -5.9 eV per formula unit